VASP calculation (PBE) on crystalline BaLi2Ta at its relaxed geometry.

```
BaLi2Ta
1.0
3.234 0.000 0.000
0.000 5.227 0.000
0.000 0.000 11.329
Ba Li Ta
2 4 2
direct
0.000 0.000 0.000
0.500 0.500 0.000
0.000 0.500 0.284
0.000 0.500 0.716
0.500 0.000 0.284
0.500 0.000 0.716
0.000 0.000 0.500
0.500 0.500 0.500
```

## Properties
Symmetry: Cmmm
Density of states at the Fermi level in states/eV/atom: 1.065
Uncorrected energy in eV for the cell shown: -29.12
Formation enthalpy at 0 K in eV per atom: 0.76
M_tot in μB/cell: 0.00
ΔE to the lowest computed polymorph in meV/atom: 96